TlFeNiW after structural relaxation. Source: the Open Quantum Materials Database, functional PBE.

a b c (Å): 4.4240 4.4240 4.4240
angles (deg): 60.00 60.00 60.00
Last column: nearest neighbours and their distance in Å.
Fractional positions:
Fe (0.7500, 0.7500, 0.7500)  4 Ni 2.71, 4 Tl 2.71
Ni (0.5000, 0.5000, 0.5000)  4 Fe 2.71, 4 W 2.71
Tl (0.0000, 0.0000, 0.0000)  4 Fe 2.71, 4 W 2.71
W (0.2500, 0.2500, 0.2500)  4 Ni 2.71, 4 Tl 2.71

Results
energy above the lowest structure with this stoichiometry: 26.1 kJ/mol of atoms
crystal system: cubic
total energy: -6.4923 eV per atom